# 1
Compound: BaSr2Ru
Source: the Alexandria database
Functional: meta-GGA SCAN
Structure: PBEsol geometry Values from VASP.

```
&SYSTEM
  ibrav = 0, nat = 4, ntyp = 3
/
ATOMIC_SPECIES
Ba 137.33 Ba.upf
Ru 101.07 Ru.upf
Sr 87.62 Sr.upf
ATOMIC_POSITIONS angstrom
Ba -0.782 -1.967 1.514
Ru 4.123 -3.823 1.636
Sr 6.491 -2.457 0.161
Sr 3.319 -1.256 0.082
CELL_PARAMETERS angstrom
-0.292 -0.533 3.630
-1.272 -3.401 -0.602
9.810 -3.713 0.243
```

Properties
* energy above the most stable polymorph in this dataset: 0.000 eV/atom

# 2
Compound: BaSr2Ru
Source: the Alexandria database
Functional: meta-GGA SCAN
Structure: PBEsol geometry Values from VASP.

```
&SYSTEM
  ibrav = 0, nat = 4, ntyp = 3
/
ATOMIC_SPECIES
Ba 137.33 Ba.upf
Ru 101.07 Ru.upf
Sr 87.62 Sr.upf
ATOMIC_POSITIONS angstrom
Ba 3.915 2.260 5.646
Ru 0.000 0.000 0.000
Sr 1.957 1.130 1.911
Sr 5.872 3.390 9.381
CELL_PARAMETERS angstrom
3.915 0.000 0.000
1.957 3.390 0.000
1.957 1.130 11.291
```

Properties
* energy above the most stable polymorph in this dataset: 0.137 eV/atom

# 3
Compound: BaTaRu2
Source: the Alexandria database
Functional: meta-GGA SCAN
Structure: PBEsol geometry Values from VASP.

```
&SYSTEM
  ibrav = 0, nat = 4, ntyp = 3
/
ATOMIC_SPECIES
Ba 137.33 Ba.upf
Ru 101.07 Ru.upf
Ta 180.95 Ta.upf
ATOMIC_POSITIONS angstrom
Ba 1.674 1.674 5.954
Ru 0.000 0.000 0.678
Ru 1.674 1.674 1.948
Ta 0.000 0.000 3.042
CELL_PARAMETERS angstrom
3.348 0.000 0.000
0.000 3.348 0.000
0.000 0.000 7.748
```

Properties
* energy above the most stable polymorph in this dataset: 0.438 eV/atom

# 4
Compound: BaTaRu2
Source: the Alexandria database
Functional: meta-GGA SCAN
Structure: PBEsol geometry Values from VASP.

```
&SYSTEM
  ibrav = 0, nat = 4, ntyp = 3
/
ATOMIC_SPECIES
Ba 137.33 Ba.upf
Ru 101.07 Ru.upf
Ta 180.95 Ta.upf
ATOMIC_POSITIONS angstrom
Ba 1.563 0.000 0.000
Ru 1.563 1.185 4.614
Ru 0.000 1.841 2.339
Ta 0.000 -0.464 3.455
CELL_PARAMETERS angstrom
3.126 0.000 0.000
-1.563 3.954 0.043
0.000 -0.927 6.909
```

Properties
* energy above the most stable polymorph in this dataset: 0.211 eV/atom

# 5
Compound: BaTaRu2
Source: the Alexandria database
Functional: meta-GGA SCAN
Structure: PBEsol geometry Values from VASP.

```
&SYSTEM
  ibrav = 0, nat = 4, ntyp = 3
/
ATOMIC_SPECIES
Ba 137.33 Ba.upf
Ru 101.07 Ru.upf
Ta 180.95 Ta.upf
ATOMIC_POSITIONS angstrom
Ba 1.482 1.590 3.845
Ru 2.963 0.000 6.246
Ru 0.001 0.000 1.444
Ta 1.588 1.590 -0.007
CELL_PARAMETERS angstrom
3.176 0.000 -0.014
0.000 3.180 0.000
-0.212 0.000 7.705
```

Properties
* energy above the most stable polymorph in this dataset: 0.000 eV/atom

# 6
Compound: BaTc2Ru
Source: the Alexandria database
Functional: meta-GGA SCAN
Structure: PBEsol geometry Values from VASP.

```
&SYSTEM
  ibrav = 0, nat = 4, ntyp = 3
/
ATOMIC_SPECIES
Ba 137.33 Ba.upf
Ru 101.07 Ru.upf
Tc 98.00 Tc.upf
ATOMIC_POSITIONS angstrom
Ba 1.429 0.000 0.000
Ru 0.000 2.542 0.000
Tc 1.429 2.542 2.175
Tc 0.000 0.000 2.921
CELL_PARAMETERS angstrom
2.858 0.000 0.000
0.000 5.085 0.000
-1.429 -2.542 5.096
```

Properties
* energy above the most stable polymorph in this dataset: 0.448 eV/atom

no.,energy relative to the elements (kJ/mol of atoms),theoretical density (g/cm3),total magnetic moment (μB/atom)
1,39.6,4.83,0.2170
2,52.8,4.58,0.2242
3,53.9,9.95,0.1469
4,32.0,10.10,0.0000
5,11.6,11.11,0.0000
6,107.3,9.74,0.0000